(1)
LuInFeNi: relaxed, PBE-GGA.

Lattice parameters (Å, degrees): 4.6360 4.6360 4.6360 60.00 60.00 60.00
Last column: nearest neighbours and their distance in Å.
Fractional coordinates of all 4 atoms:
Lu 0.0000 0.0000 0.0000  4 Ni 2.84, 4 In 2.84
In 0.2500 0.2500 0.2500  4 Fe 2.84, 4 Lu 2.84
Fe 0.5000 0.5000 0.5000  4 Ni 2.84, 4 In 2.84
Ni 0.7500 0.7500 0.7500  4 Fe 2.84, 4 Lu 2.84

Calculated values
Space-group type: F-43m, No. 216
E above lowest polymorph in meV per atom: 416


(2)
Pr3Ni: relaxed, PBE-GGA.

Lattice parameters (Å, degrees): 7.5225 7.5225 4.5679 90.00 90.00 120.00
Last column: nearest neighbours and their distance in Å.
Fractional coordinates of all 8 atoms:
Pr 0.1854 0.3709 0.2500  2 Ni 2.99, 6 Pr 3.32-3.34
Pr 0.1854 0.8146 0.2500  2 Ni 2.99, 6 Pr 3.32-3.34
Pr 0.3709 0.1854 0.7500  2 Ni 2.99, 6 Pr 3.32-3.34
Pr 0.6291 0.8146 0.2500  2 Ni 2.99, 6 Pr 3.32-3.34
Pr 0.8146 0.1854 0.7500  2 Ni 2.99, 6 Pr 3.32-3.34
Pr 0.8146 0.6291 0.7500  2 Ni 2.99, 6 Pr 3.32-3.34
Ni 0.3333 0.6667 0.7500  6 Pr 2.99
Ni 0.6667 0.3333 0.2500  6 Pr 2.99

Calculated values
Space-group type: P6_3/mmc, No. 194
ΔH_f (0 K) in eV per atom: 0.12


(3)
Cu2Ag: relaxed, PBE-GGA.

Lattice parameters (Å, degrees): 4.6702 4.6702 11.1409 111.86 111.86 34.16
Last column: nearest neighbours and their distance in Å.
Fractional coordinates of all 9 atoms:
Cu 0.0000 0.0000 0.0000  9 Cu 2.47-2.74, 2 Ag 2.68
Cu 0.2319 0.2319 0.8918  9 Cu 2.54-2.77, 3 Ag 2.68-2.71
Cu 0.2990 0.2990 0.2926  7 Cu 2.53-2.74, 3 Ag 2.73-2.75
Cu 0.5322 0.5322 0.1931  10 Cu 2.47-2.74, 2 Ag 2.69
Cu 0.6657 0.6657 0.6667  8 Ag 2.70-2.96, 4 Cu 2.71-2.74
Cu 0.7655 0.7655 0.0926  12 Cu 2.53-2.74
Ag 0.0850 0.0850 0.4133  7 Cu 2.69-2.96, 5 Ag 2.72-2.81
Ag 0.4493 0.4493 0.7809  8 Cu 2.68-2.72, 4 Ag 2.74-2.85
Ag 0.8798 0.8798 0.5407  7 Ag 2.72-2.85, 5 Cu 2.75-2.91

Calculated values
Space-group type: Cm, No. 8
E above lowest polymorph in meV per atom: 37
ΔH_f (0 K) in eV per atom: 0.08


(4)
BaTmTlTe3: relaxed, PBE-GGA.

Lattice parameters (Å, degrees): 7.9623 7.9623 12.1144 90.00 90.00 146.49
Last column: nearest neighbours and their distance in Å.
Fractional coordinates of all 12 atoms:
Ba 0.2427 0.7573 0.7500  4 Te 3.46-3.71, 2 Tl 3.79
Ba 0.7573 0.2427 0.2500  4 Te 3.46-3.71, 2 Tl 3.79
Tm 0.0000 0.0000 0.0000  6 Te 3.15-3.31
Tm 0.0000 0.0000 0.5000  6 Te 3.15-3.31
Tl 0.4554 0.5446 0.2500  4 Te 3.05-3.16
Tl 0.5446 0.4554 0.7500  4 Te 3.05-3.16
Te 0.0873 0.9127 0.2500  2 Tl 3.05, 2 Tm 3.31
Te 0.3591 0.6409 0.0191  2 Tm 3.15, 1 Tl 3.16
Te 0.3591 0.6409 0.4809  2 Tm 3.15, 1 Tl 3.16
Te 0.6409 0.3591 0.5191  2 Tm 3.15, 1 Tl 3.16
Te 0.6409 0.3591 0.9809  2 Tm 3.15, 1 Tl 3.16
Te 0.9127 0.0873 0.7500  2 Tl 3.05, 2 Tm 3.31

Calculated values
Space-group type: Cmcm, No. 63
Uncorrected energy in eV/cell: -48.6